[1]
Density functional theory data (PBE) for a geometry-optimized MgIF6 structure.

Lattice parameters (Å, degrees): 5.231 5.760 6.086 62.16 55.68 52.55
Each line ends with the local moment (μB).
Fractional positions:
Mg 0.000 0.000 0.000  0.00
I 0.500 0.500 0.500  0.46
F 0.158 0.316 0.771  0.04
F 0.744 0.145 0.774  0.06
F 0.570 0.280 0.258  0.05
F 0.256 0.855 0.226  0.06
F 0.842 0.684 0.229  0.04
F 0.430 0.720 0.742  0.05

**Raw total energy**: -3.88 eV per atom
**Space-group type**: No. 2
**Raw formation energy**: -2079 meV per atom



[2]
Density functional theory data (PBE) for a geometry-optimized MgIF2 structure.

Lattice parameters (Å, degrees): 9.989 9.989 9.989 20.31 20.31 20.31
Fractional positions:
I 0.500 0.500 0.500
Mg 0.000 0.000 0.000
F 0.940 0.940 0.940
F 0.060 0.060 0.060

**Raw total energy**: -3.15 eV per atom
**Space-group type**: No. 166
**Raw formation energy**: -1428 meV per atom
**Polymorph energy (0 for the lowest one)**: 918 meV per atom